Entry from Alexandria via LeMat-Bulk: a relaxed structure of PaMoAuO6 (PBE+U).

- ρ (g/cm³) = 7.7
- E (eV for the cell shown) = -133.1
- total moment (μB per cell) = 0.00

abc: 5.622 5.622 9.710
angles: 90.00 90.00 120.00
Sites, in units of the cell vectors:
Pa 0.333 0.667 0.250
Pa 0.667 0.333 0.750
Mo 0.333 0.667 0.750
Mo 0.667 0.333 0.250
Au 0.000 0.000 0.000
Au 0.000 0.000 0.500
O 0.029 0.387 0.640
O 0.029 0.642 0.860
O 0.358 0.387 0.860
O 0.358 0.971 0.640
O 0.387 0.029 0.140
O 0.387 0.358 0.360
O 0.613 0.642 0.640
O 0.613 0.971 0.860
O 0.642 0.029 0.360
O 0.642 0.613 0.140
O 0.971 0.358 0.140
O 0.971 0.613 0.360